A geometry-optimized ZrMo2Os structure, computed with PBE.

Cell: 2.8255 2.8255 8.9995 Å, 90.00 90.00 111.39°
Closest atoms and distances in Å follow each position.
Fractional coordinates of all 4 atoms:
Mo 0.5000 0.5000 0.2506  6 Mo 2.66-2.83, 2 Os 2.68
Os 0.0000 0.0000 0.4901  2 Mo 2.68, 2 Zr 2.80, 4 Os 2.83
Mo 0.0000 0.0000 0.0136  6 Mo 2.66-2.83, 2 Zr 2.89
Zr 0.5000 0.5000 0.7456  2 Os 2.80, 4 Zr 2.83, 2 Mo 2.89

Summary:
ρ = 11.75 g/cm3
excess energy over the best structure of this formula in the dataset = 0.234 eV/atom
total moment = 0.0 Bohr magnetons per cell
energy relative to the elements = 0.44 eV per formula unit